The following is a PBE calculation of Ac2PmDy after structural relaxation, from the Alexandria database.

## Properties
- DFT formation energy: 0.045 eV per atom
- Spin magnetization: 0.00 μB/cell
- Final energy: -4.348 eV per atom
- Space-group type: P4/mmm
- ΔE to the lowest computed polymorph: 9 meV/atom

Cell: 3.8718 3.8718 10.2551 Å, 90.00 90.00 90.00°
Closest atoms and distances in Å follow each position.
Fractional coordinates of all 4 atoms:
Ac (0.0000, 0.0000, 0.2462)  4 Dy 3.72, 4 Pm 3.78, 4 Ac 3.87
Ac (0.0000, 0.0000, 0.7538)  4 Dy 3.72, 4 Pm 3.78, 4 Ac 3.87
Pm (0.5000, 0.5000, 0.5000)  8 Ac 3.78, 4 Pm 3.87
Dy (0.5000, 0.5000, 0.0000)  8 Ac 3.72, 4 Dy 3.87

=====

The following is a PBE calculation of AcPm8Dy2 after structural relaxation, from the Alexandria database.

## Properties
- DFT formation energy: 0.164 eV per atom
- Spin magnetization: 0.00 μB/cell
- Final energy: -4.502 eV per atom
- Space-group type: C2/m
- ΔE to the lowest computed polymorph: 41 meV/atom

Cell: 6.8466 10.5601 10.5601 Å, 37.91 58.12 58.12°
Closest atoms and distances in Å follow each position.
Fractional coordinates of all 11 atoms:
Pm (0.2397, 0.3608, 0.8236)  3 Pm 3.17-3.41, 1 Dy 3.48
Pm (0.1862, 0.7615, 0.7615)  5 Pm 3.30-3.56, 4 Dy 3.40-3.59
Pm (0.7603, 0.6392, 0.1764)  3 Pm 3.17-3.41, 1 Dy 3.48
Pm (0.2680, 0.4076, 0.4076)  4 Pm 3.36-3.73, 1 Dy 3.58
Pm (0.2397, 0.8236, 0.3608)  3 Pm 3.17-3.41, 1 Dy 3.48
Pm (0.8138, 0.2385, 0.2385)  5 Pm 3.30-3.56, 4 Dy 3.40-3.59
Pm (0.7320, 0.5924, 0.5924)  4 Pm 3.36-3.73, 1 Dy 3.58
Pm (0.7603, 0.1764, 0.6392)  3 Pm 3.17-3.41, 1 Dy 3.48
Ac (0.0000, 0.0000, 0.0000)  8 Pm 3.59-3.84
Dy (0.3640, 0.2119, 0.2119)  7 Pm 3.40-3.59
Dy (0.6360, 0.7881, 0.7881)  7 Pm 3.40-3.59

=====

The following is a PBE calculation of Ac8PmDy5 after structural relaxation, from the Alexandria database.

## Properties
- DFT formation energy: 0.055 eV per atom
- Spin magnetization: 0.00 μB/cell
- Final energy: -4.275 eV per atom
- Space-group type: P1

Cell: 11.3264 8.5521 9.3412 Å, 111.33 122.61 107.74°
Closest atoms and distances in Å follow each position.
Fractional coordinates of all 14 atoms:
Ac (0.5938, 0.3633, 0.9110)  5 Dy 3.73-3.89, 6 Ac 3.75-3.89, 1 Pm 3.84
Ac (0.1575, 0.6427, 0.0541)  5 Dy 3.78-3.82, 6 Ac 3.81-3.90, 1 Pm 3.84
Ac (0.0108, 0.0704, 0.7623)  6 Ac 3.74-3.95, 5 Dy 3.76-3.93, 1 Pm 3.83
Ac (0.0878, 0.8596, 0.4136)  7 Ac 3.75-3.88, 4 Dy 3.80-3.91, 1 Pm 3.84
Ac (0.3036, 0.2140, 0.3362)  5 Dy 3.76-3.81, 6 Ac 3.82-3.85, 1 Pm 3.83
Ac (0.8723, 0.4852, 0.4786)  6 Dy 3.69-3.86, 1 Pm 3.71, 5 Ac 3.81-3.95
Ac (0.5191, 0.5743, 0.2642)  7 Ac 3.74-3.86, 4 Dy 3.78-3.91, 1 Pm 3.83
Ac (0.4550, 0.7900, 0.6367)  6 Dy 3.72-3.86, 1 Pm 3.73, 5 Ac 3.83-3.90
Dy (0.8038, 0.7175, 0.8419)  9 Ac 3.72-3.88, 3 Dy 3.75-3.84
Dy (0.9464, 0.2789, 0.1265)  3 Dy 3.70-3.89, 8 Ac 3.72-3.91, 1 Pm 3.76
Dy (0.6584, 0.1440, 0.5514)  8 Ac 3.71-3.83, 4 Dy 3.77-3.89
Dy (0.3784, 0.9934, 0.9848)  2 Dy 3.69-3.77, 1 Pm 3.73, 9 Ac 3.74-3.93
Dy (0.7312, 0.9332, 0.1941)  6 Ac 3.69-3.84, 4 Dy 3.69-3.82, 2 Pm 3.79
Pm (0.2317, 0.4335, 0.6945)  8 Ac 3.71-3.84, 4 Dy 3.73-3.79